Entry 1:
This record from Alexandria describes an optimized crystal structure of BaAsPb2. The functional is PBE.

Cell: 9.398 9.398 9.398 Å, 26.08 26.08 26.08°
Fractional coordinates of all 4 atoms:
Ba (0.750, 0.750, 0.750)
As (0.250, 0.250, 0.250)
Pb (0.520, 0.520, 0.520)
Pb (0.980, 0.980, 0.980)

Results
- energy of formation (meV/atom) = -75
- N(E_F) (states/eV/cell) = 4.375

---

Entry 2:
This record from Alexandria describes an optimized crystal structure of BaAsPb2. The functional is PBE.

Cell: 4.199 5.113 6.760 Å, 67.85 90.00 90.00°
Fractional coordinates of all 4 atoms:
Pb (0.000, 0.041, 0.043)
Pb (0.500, 0.449, 0.225)
Ba (0.500, 0.734, 0.658)
As (0.000, 0.276, 0.574)

Results
- energy of formation (meV/atom) = -468
- N(E_F) (states/eV/cell) = 1.318

---

Entry 3:
This record from Alexandria describes an optimized crystal structure of BaAsPb2. The functional is PBE.

Cell: 9.186 9.186 7.281 Å, 50.89 50.89 90.00°
Fractional coordinates of all 8 atoms:
As (0.250, 0.750, 0.500)
As (0.500, 0.500, 0.000)
Pb (0.875, 0.813, 0.750)
Pb (0.187, 0.625, 0.250)
Pb (0.375, 0.437, 0.750)
Pb (0.563, 0.125, 0.250)
Ba (0.750, 0.250, 0.500)
Ba (0.000, 0.000, 0.000)

Results
- energy of formation (meV/atom) = -344
- N(E_F) (states/eV/cell) = 5.110

---

Entry 4:
This record from Alexandria describes an optimized crystal structure of Ba2As2Pb. The functional is PBE.

Cell: 8.145 8.145 4.896 Å, 90.00 90.00 90.00°
Fractional coordinates of all 10 atoms:
Ba (0.681, 0.819, 0.500)
Ba (0.181, 0.681, 0.500)
Ba (0.319, 0.181, 0.500)
Ba (0.819, 0.319, 0.500)
Pb (0.000, 0.000, 0.000)
Pb (0.500, 0.500, 0.000)
As (0.389, 0.889, 0.000)
As (0.111, 0.389, 0.000)
As (0.889, 0.611, 0.000)
As (0.611, 0.111, 0.000)

Results
- energy of formation (meV/atom) = -817
- N(E_F) (states/eV/cell) = 4.243
- relative energy among the computed polymorphs (meV/atom) = 0

---

Entry 5:
This record from Alexandria describes an optimized crystal structure of Ba2AsPb. The functional is PBE.

Cell: 6.846 6.846 6.846 Å, 137.92 137.92 61.03°
Fractional coordinates of all 4 atoms:
Ba (0.000, 0.000, 0.000)
Ba (0.250, 0.750, 0.500)
As (0.750, 0.250, 0.500)
Pb (0.500, 0.500, 0.000)

Results
- energy of formation (meV/atom) = -516
- N(E_F) (states/eV/cell) = 3.176
- relative energy among the computed polymorphs (meV/atom) = 183

---

Entry 6:
This record from Alexandria describes an optimized crystal structure of BaAs2Pb2. The functional is PBE.

Cell: 8.323 8.323 4.344 Å, 90.00 90.00 90.00°
Fractional coordinates of all 10 atoms:
Pb (0.347, 0.153, 0.500)
Pb (0.153, 0.653, 0.500)
Pb (0.847, 0.347, 0.500)
Pb (0.653, 0.847, 0.500)
Ba (0.500, 0.500, 0.000)
Ba (0.000, 0.000, 0.000)
As (0.381, 0.881, 0.000)
As (0.619, 0.119, 0.000)
As (0.119, 0.381, 0.000)
As (0.881, 0.619, 0.000)

Results
- energy of formation (meV/atom) = -261
- N(E_F) (states/eV/cell) = 8.552

---

Entry 7:
This record from Alexandria describes an optimized crystal structure of Ba2AsPb. The functional is PBE.

Cell: 6.814 6.814 4.592 Å, 89.99 89.99 45.07°
Fractional coordinates of all 4 atoms:
Ba (0.742, 0.742, 0.625)
Ba (0.017, 0.017, 0.125)
Pb (0.448, 0.448, 0.625)
As (0.293, 0.293, 0.125)

Results
- energy of formation (meV/atom) = -698
- N(E_F) (states/eV/cell) = 3.529
- relative energy among the computed polymorphs (meV/atom) = 1

---

Entry 8:
This record from Alexandria describes an optimized crystal structure of BaAsPb2. The functional is PBE.

Cell: 4.153 4.153 7.403 Å, 90.00 90.00 89.96°
Fractional coordinates of all 4 atoms:
Pb (0.000, 0.000, 0.447)
Pb (0.000, 0.000, 0.053)
As (0.500, 0.500, 0.250)
Ba (0.500, 0.500, 0.750)

Results
- energy of formation (meV/atom) = -184
- N(E_F) (states/eV/cell) = 2.027

---

no.,E (eV/atom)
1,-3.572
2,-3.965
3,-3.841
4,-4.187
5,-3.567
6,-3.989
7,-3.749
8,-3.681